(1)
BeVSe2N | PBE-GGA | relaxed

Results
* calculated total energy: -26.31 eV for the cell shown
* E above lowest polymorph: 0.0 kJ/mol of atoms

a = 4.9398 Å, b = 4.9398 Å, c = 3.5912 Å
α = 90.00°, β = 90.00°, γ = 90.00°
Last column: nearest neighbours and their distance in Å.
Fractional coordinates of all 5 atoms:
Be: 0.0000 0.0000 0.0000  8 Se 3.05
V: 0.5000 0.5000 0.5000  2 N 1.80
Se: 0.0000 0.5000 0.5000  2 V 2.47
Se: 0.5000 0.0000 0.5000  2 V 2.47
N: 0.5000 0.5000 0.0000  2 V 1.80

(2)
YSc2Ta | PBE-GGA | relaxed

Results
* energy of formation from the pure elements: 0.224 eV/atom
* calculated total energy: -30.08 eV for the cell shown
* E above lowest polymorph: 6.4 kJ/mol of atoms

a = 3.6874 Å, b = 3.6874 Å, c = 7.0584 Å
α = 90.00°, β = 90.00°, γ = 90.00°
Last column: nearest neighbours and their distance in Å.
Fractional coordinates of all 4 atoms:
Y: 0.0000 0.0000 0.0000  8 Sc 3.33, 2 Ta 3.53, 4 Y 3.69
Sc: 0.5000 0.5000 0.2942  1 Sc 2.91, 4 Ta 2.98
Sc: 0.5000 0.5000 0.7058  1 Sc 2.91, 4 Ta 2.98
Ta: 0.0000 0.0000 0.5000  8 Sc 2.98

Question: Which of these has the highest calculated total energy?
Answer: BeVSe2N

Question: What is the calculated total energy in the second record?
Answer: -30.08 eV for the cell shown